1.
The following is a DFT calculation (PBE) of an optimized crystal structure of Er2Ga3Cu5.

Unit cell a=11.6461 b=11.6461 c=6.6636 alpha=90.00 beta=90.00 gamma=158.84
Atoms (fractional coordinates):
Er 0.0166 0.9834 0.5000
Er 0.3243 0.6757 0.4203
Er 0.6757 0.3243 0.9203
Er 0.9834 0.0166 0.0000
Ga 0.1154 0.8846 0.2033
Ga 0.2757 0.7243 0.8598
Ga 0.4507 0.5493 0.2968
Ga 0.5493 0.4507 0.7968
Ga 0.7243 0.2757 0.3598
Ga 0.8846 0.1154 0.7033
Cu 0.1056 0.8944 0.7784
Cu 0.1978 0.8022 0.5672
Cu 0.2224 0.7776 0.1727
Cu 0.3780 0.6220 0.0051
Cu 0.4429 0.5571 0.6906
Cu 0.5571 0.4429 0.1906
Cu 0.6220 0.3780 0.5051
Cu 0.7776 0.2224 0.6727
Cu 0.8022 0.1978 0.0672
Cu 0.8944 0.1056 0.2784

## Properties
Magnetic moment = 0.00 μB per formula unit
Space-group type = Cmc2_1
ΔH_f (0 K) = -3.3 eV per formula unit



2.
The following is a DFT calculation (PBE) of an optimized crystal structure of CoSn3B.

Unit cell a=4.7472 b=4.7472 c=4.7472 alpha=90.00 beta=90.00 gamma=90.00
Atoms (fractional coordinates):
Co 0.0000 0.0000 0.0000
Sn 0.0000 0.5000 0.5000
Sn 0.5000 0.0000 0.5000
Sn 0.5000 0.5000 0.0000
B 0.5000 0.5000 0.5000

## Properties
Magnetic moment = 1.69 μB per formula unit
Space-group type = Pm-3m
ΔH_f (0 K) = 4.9 eV per formula unit
Offset from the most stable computed form = 0.076 eV/atom



3.
The following is a DFT calculation (PBE) of an optimized crystal structure of MnAgBr2.

Unit cell a=6.8765 b=6.8765 c=6.8765 alpha=151.24 beta=140.12 gamma=49.90
Atoms (fractional coordinates):
Mn 0.0000 0.0000 0.0000
Ag 0.8082 0.3082 0.5000
Br 0.1626 0.6626 0.5000
Br 0.4466 0.4466 0.0000

## Properties
Magnetic moment = 4.45 μB per formula unit
Space-group type = Imm2
Offset from the most stable computed form = 0.168 eV/atom
Formation energy from raw total energies = -0.28 eV per formula unit